Tb2Ho3Tl: relaxed, PBE.

total magnetization: 0.00 Bohr magnetons per cell
crystal system: orthorhombic
distance to the lowest polymorph of the same formula: 2.13 eV/f.u.
formation energy from the elements: 0.249 eV per atom

a b c (Å): 5.749 6.411 10.143
angles (deg): 90.00 90.00 90.00
Element x y z (fractional)
1 Tb 0.000 0.000 0.183
2 Tb 0.000 0.000 0.817
3 Tb 0.500 0.500 0.317
4 Tb 0.500 0.500 0.683
5 Ho 0.000 0.500 0.156
6 Ho 0.000 0.500 0.500
7 Ho 0.000 0.500 0.844
8 Ho 0.500 0.000 0.000
9 Ho 0.500 0.000 0.344
10 Ho 0.500 0.000 0.656
11 Tl 0.000 0.000 0.500
12 Tl 0.500 0.500 0.000